Ac2MnTlO6 PBE with a Hubbard U relaxed; total energy = -70.34 eV per formula unit
1.0
-2.691 -4.080 3.470
4.321 0.396 3.817
-2.769 5.240 -1.784
Ac Mn Tl O
2 1 1 6
Direct
0.241 0.259 0.518
0.759 0.741 0.482
0.500 0.000 0.000
0.000 0.500 0.000
0.351 0.746 0.493
0.213 0.173 0.873
0.787 0.300 0.127
0.213 0.700 0.873
0.787 0.827 0.127
0.649 0.254 0.507